Record 1
Entry from the Alexandria database: a geometry-optimized Mg4AlAu5 structure (PBE).

```
Mg4AlAu5
1.0
3.2575 0.0000 0.0000
0.0000 3.2575 0.0000
0.0000 0.0000 16.6830
Mg Al Au
4 1 5
direct
0.0000 0.0000 0.1005 Mg
0.0000 0.0000 0.3013 Mg
0.0000 0.0000 0.6987 Mg
0.0000 0.0000 0.8995 Mg
0.0000 0.0000 0.5000 Al
0.5000 0.5000 0.0000 Au
0.5000 0.5000 0.2013 Au
0.5000 0.5000 0.4080 Au
0.5000 0.5000 0.5920 Au
0.5000 0.5000 0.7987 Au
```

Calculated values
The calculation puts the density of states at the Fermi level at 3.73 states/eV per cell. Its electronic total energy is -3.20 eV per atom. The formation energy comes out at -0.548 eV per atom.

Record 2
Entry from the Alexandria database: a geometry-optimized Li3PuTi2S6 structure (PBE).

```
Li3PuTi2S6
1.0
3.1681 -5.4945 0.0000
3.1681 5.4945 0.0000
-2.1326 0.0000 6.1134
Li Pu Ti S
3 1 2 6
direct
0.0000 0.0000 0.0000 Li
0.3361 0.6639 0.0000 Li
0.6639 0.3361 0.0000 Li
0.5000 0.5000 0.5000 Pu
0.1674 0.8326 0.5000 Ti
0.8326 0.1674 0.5000 Ti
0.0621 0.4196 0.2599 S
0.2239 0.2239 0.7419 S
0.4196 0.0621 0.2599 S
0.5804 0.9379 0.7401 S
0.7761 0.7761 0.2581 S
0.9379 0.5804 0.7401 S
```

Calculated values
The calculation puts the density of states at the Fermi level at 12.52 states/eV per cell. Its electronic total energy is -6.49 eV per atom. For the uncorrected formation energy, the calculation gives -17.3 eV/f.u.